The following is a DFT calculation (PBEsol) of a relaxed Sb4Se5 crystal.

Summary:
For the energy relative to the elements, uncorrected, the calculation gives 0.24 eV/atom. The calculation puts the size of the total moment at 0.00 μB per cell. The value obtained for the final energy is -35.31 eV for the cell shown. The space group is I4/mmm (139).

Geometry as extended XYZ:
```
9
Lattice="-5.352 5.352 1.759 5.352 -5.352 1.759 5.352 5.352 -1.759" Properties=species:S:1:pos:R:3 pbc="T T T"
Sb 3.429 0.000 0.000
Sb 7.276 0.000 0.000
Sb 0.000 3.429 0.000
Sb 0.000 7.276 0.000
Se 0.000 0.000 0.000
Se 3.631 3.631 0.000
Se 1.721 -1.721 1.759
Se -1.721 1.721 1.759
Se 1.721 1.721 1.759
```

The following is a DFT calculation (PBEsol) of a relaxed LaI3 crystal.

Summary:
For the energy relative to the elements, uncorrected, the calculation gives -1.53 eV/atom. The calculation puts the size of the total moment at 0.00 μB per cell. The value obtained for the final energy is -33.53 eV for the cell shown. The space group is Cmcm (63).

Geometry as extended XYZ:
```
8
Lattice="2.187 -7.071 0.000 2.187 7.071 0.000 0.000 0.000 9.903" Properties=species:S:1:pos:R:3 pbc="T T T"
La 2.187 3.647 7.428
La 2.187 -3.647 2.476
I 2.187 5.001 0.636
I 2.187 5.001 4.316
I 2.187 1.146 2.476
I 2.187 -1.146 7.428
I 2.187 -5.001 5.588
I 2.187 -5.001 9.267
```

The following is a DFT calculation (PBEsol) of a relaxed Li2BeRu crystal.

Summary:
The calculation puts the size of the total moment at 0.00 μB per cell. The value obtained for the final energy is -17.56 eV for the cell shown. The space group is Pmm2 (25). For the energy of formation, the calculation gives 0.5 eV/f.u.

Geometry as extended XYZ:
```
4
Lattice="2.503 0.000 0.000 0.000 3.677 0.000 0.000 0.000 5.402" Properties=species:S:1:pos:R:3 pbc="T T T"
Li 0.000 0.000 0.000
Li 1.252 1.839 1.442
Be 1.252 1.839 3.782
Ru 0.000 0.000 2.900
```

The following is a DFT calculation (PBEsol) of a relaxed RbHf2Ru crystal.

Summary:
The calculation puts the size of the total moment at 0.00 μB per cell. The value obtained for the final energy is -28.64 eV for the cell shown. The space group is Fm-3m (225). For the energy of formation, the calculation gives 3.6 eV/f.u.

Geometry as extended XYZ:
```
4
Lattice="0.000 3.420 3.420 3.420 0.000 3.420 3.420 3.420 0.000" Properties=species:S:1:pos:R:3 pbc="T T T"
Rb 0.000 0.000 0.000
Hf 1.710 1.710 1.710
Hf 5.130 5.130 5.130
Ru 3.420 3.420 3.420
```

The following is a DFT calculation (PBEsol) of a relaxed Y2Co2O5 crystal.

Summary:
For the energy relative to the elements, uncorrected, the calculation gives -2.18 eV/atom. The calculation puts the size of the total moment at 0.24 μB per cell. The value obtained for the final energy is -74.94 eV for the cell shown. The space group is P4/mmm (123).

Geometry as extended XYZ:
```
9
Lattice="3.697 0.000 0.000 0.000 3.697 0.000 0.000 0.000 6.639" Properties=species:S:1:pos:R:3 pbc="T T T"
Y 0.000 0.000 0.000
Y 0.000 0.000 3.319
Co 1.849 1.849 1.267
Co 1.849 1.849 5.372
O 0.000 1.849 1.515
O 0.000 1.849 5.124
O 1.849 0.000 1.515
O 1.849 0.000 5.124
O 1.849 1.849 3.319
```

The following is a DFT calculation (PBEsol) of a relaxed CaZn2AgF crystal.

Summary:
For the energy relative to the elements, uncorrected, the calculation gives -0.32 eV/atom. The calculation puts the size of the total moment at 0.00 μB per cell. The value obtained for the final energy is -12.12 eV for the cell shown. The space group is P4/mmm (123).

Geometry as extended XYZ:
```
5
Lattice="5.671 0.000 0.000 0.000 5.671 0.000 0.000 0.000 4.084" Properties=species:S:1:pos:R:3 pbc="T T T"
Ca 0.000 0.000 0.000
Zn 0.000 2.836 0.000
Zn 2.836 0.000 0.000
Ag 2.836 2.836 2.042
F 0.000 0.000 2.042
```

The following is a DFT calculation (PBEsol) of a relaxed MoPPb crystal.

Summary:
The calculation puts the size of the total moment at 0.58 μB per cell. The calculation puts the offset from the most stable computed form at 0.7677 eV/atom. The value obtained for the final energy is -19.26 eV for the cell shown. The space group is F-43m (216). For the energy of formation, the calculation gives 2.3 eV/f.u.

Geometry as extended XYZ:
```
3
Lattice="0.000 3.129 3.129 3.129 0.000 3.129 3.129 3.129 0.000" Properties=species:S:1:pos:R:3 pbc="T T T"
Mo 0.000 0.000 0.000
P 4.693 4.693 4.693
Pb 1.564 1.564 1.564
```

The following is a DFT calculation (PBEsol) of a relaxed Li2SiHg2 crystal.

Summary:
For the energy relative to the elements, uncorrected, the calculation gives -0.13 eV/atom. The calculation puts the size of the total moment at 0.00 μB per cell. The value obtained for the final energy is -22.98 eV for the cell shown. The space group is P4/mbm (127).

Geometry as extended XYZ:
```
10
Lattice="7.420 0.000 0.000 0.000 7.420 0.000 0.000 0.000 3.160" Properties=species:S:1:pos:R:3 pbc="T T T"
Li 1.165 2.545 0.000
Li 2.545 6.255 0.000
Li 4.875 1.165 0.000
Li 6.255 4.875 0.000
Si 0.000 0.000 1.580
Si 3.710 3.710 1.580
Hg 1.067 4.777 1.580
Hg 2.643 1.067 1.580
Hg 4.777 6.353 1.580
Hg 6.353 2.643 1.580
```

The following is a DFT calculation (PBEsol) of a relaxed RbMnZn2I crystal.

Summary:
For the energy relative to the elements, uncorrected, the calculation gives 0.86 eV/atom. The calculation puts the size of the total moment at 4.37 μB per cell. The value obtained for the final energy is -11.42 eV for the cell shown. The space group is P4/mmm (123).

Geometry as extended XYZ:
```
5
Lattice="6.495 0.000 0.000 0.000 6.495 0.000 0.000 0.000 5.116" Properties=species:S:1:pos:R:3 pbc="T T T"
Rb 0.000 0.000 0.000
Mn 3.248 3.248 0.000
Zn 0.000 3.248 2.558
Zn 3.248 0.000 2.558
I 3.248 3.248 2.558
```

The following is a DFT calculation (PBEsol) of a relaxed NbFeF3 crystal.

Summary:
For the energy relative to the elements, uncorrected, the calculation gives -0.95 eV/atom. The calculation puts the size of the total moment at 6.09 μB per cell. The value obtained for the final energy is -30.33 eV for the cell shown. The space group is Pm-3m (221).

Geometry as extended XYZ:
```
5
Lattice="4.231 0.000 0.000 0.000 4.231 0.000 0.000 0.000 4.231" Properties=species:S:1:pos:R:3 pbc="T T T"
Nb 0.000 0.000 0.000
Fe 2.116 2.116 2.116
F 0.000 0.000 2.116
F 0.000 2.116 0.000
F 2.116 0.000 0.000
```

The following is a DFT calculation (PBEsol) of a relaxed K2AuCl crystal.

Summary:
For the energy relative to the elements, uncorrected, the calculation gives -0.98 eV/atom. The calculation puts the size of the total moment at 0.00 μB per cell. The calculation puts the offset from the most stable computed form at 0.0000 eV/atom. The value obtained for the final energy is -12.11 eV for the cell shown. The space group is R-3m (166).

Geometry as extended XYZ:
```
4
Lattice="2.231 1.288 7.608 -2.231 1.288 7.608 0.000 -2.576 7.608" Properties=species:S:1:pos:R:3 pbc="T T T"
K 0.000 0.000 5.575
K 0.000 0.000 17.250
Au 0.000 0.000 0.000
Cl 0.000 0.000 11.412
```

The following is a DFT calculation (PBEsol) of a relaxed NaPH2OF6 crystal.

Summary:
The calculation puts the size of the total moment at 0.23 μB per cell. The value obtained for the final energy is -223.62 eV for the cell shown. The space group is Pnna (52).

Geometry as extended XYZ:
```
44
Lattice="10.679 0.000 0.000 0.000 7.979 0.000 0.000 0.000 6.063" Properties=species:S:1:pos:R:3 pbc="T T T"
Na 2.645 1.995 1.516
Na 2.694 5.984 1.516
Na 7.985 1.995 4.547
Na 8.034 5.984 4.547
P 0.000 0.000 0.000
P 0.000 3.990 3.032
P 5.340 0.000 0.000
P 5.340 3.990 3.032
H 1.884 4.013 5.612
H 1.884 7.955 3.483
H 3.455 0.024 3.483
H 3.455 3.966 5.612
H 7.224 4.013 0.451
H 7.224 7.955 2.581
H 8.795 0.024 2.581
H 8.795 3.966 0.451
O 2.670 0.000 2.893
O 2.670 3.990 0.139
O 8.009 0.000 3.170
O 8.009 3.990 5.924
F 0.131 4.117 4.647
F 0.131 7.851 4.447
F 1.026 5.238 2.860
F 1.026 6.730 0.172
F 1.258 1.036 0.009
F 1.258 2.953 3.023
F 4.081 5.026 3.023
F 4.081 6.943 0.009
F 4.313 1.249 0.172
F 4.313 2.741 2.860
F 5.209 0.128 4.447
F 5.209 3.862 4.647
F 5.470 4.117 1.416
F 5.470 7.851 1.616
F 6.366 5.238 3.204
F 6.366 6.730 5.891
F 6.598 1.036 6.054
F 6.598 2.953 3.041
F 9.421 5.026 3.041
F 9.421 6.943 6.054
F 9.653 1.249 5.891
F 9.653 2.741 3.204
F 10.548 0.128 1.616
F 10.548 3.862 1.416
```